Model 1:
DFT (PBE) results for crystalline SmAl4 at its relaxed geometry.

The structure belongs to space group P4/mbm (No. 127); the cell edges are 9.129, 9.129 and 5.706 Å and the angles 90.00°, 90.00° and 90.00°. Symmetry generates all atoms from Sm at (0.155, 0.345, 0.000), Al at (0.000, 0.000, 0.210), Al at (0.100, 0.600, 0.500) and Al at (0.110, 0.193, 0.500).

***

Model 2:
DFT (PBE) results for crystalline SmAl4 at its relaxed geometry.

The structure belongs to space group Pm-3m (No. 221); the cell edges are 5.615, 5.615 and 5.615 Å and the angles 90.00°, 90.00° and 90.00°. Symmetry generates all atoms from Sm at (0.000, 0.000, 0.000), Al at (0.000, 0.000, 0.500) and Al at (0.500, 0.500, 0.500).

***

Least stable: model 2

***

Model 1:
DFT (PBE) results for crystalline Sm3Al4 at its relaxed geometry.

The structure belongs to space group Cmcm (No. 63); the cell edges are 4.442, 11.251 and 13.847 Å and the angles 90.00°, 90.00° and 90.00°. Symmetry generates all atoms from Sm at (0.000, 0.014, 0.250), Sm at (0.000, 0.279, 0.603), Al at (0.000, 0.000, 0.000), Al at (0.000, 0.298, 0.250) and Al at (0.000, 0.434, 0.095).

***

Model 2:
DFT (PBE) results for crystalline Sm3Al4 at its relaxed geometry.

The structure belongs to space group Immm (No. 71); the cell edges are 3.702, 4.558 and 20.081 Å and the angles 90.00°, 90.00° and 90.00°. Symmetry generates all atoms from Sm at (0.000, 0.000, 0.000), Sm at (0.000, 0.500, 0.194), Al at (0.000, 0.000, 0.434) and Al at (0.000, 0.500, 0.363).

***

Least stable: model 1

***

Model 1:
DFT (PBE) results for crystalline Sm3Al2 at its relaxed geometry.

The structure belongs to space group Immm (No. 71); the cell edges are 4.929, 6.852 and 8.067 Å and the angles 90.00°, 90.00° and 90.00°. Symmetry generates all atoms from Sm at (0.000, 0.000, 0.000), Sm at (0.000, 0.500, 0.198) and Al at (0.000, 0.195, 0.500).

***

Model 2:
DFT (PBE) results for crystalline Sm3Al2 at its relaxed geometry.

The structure belongs to space group P4_2/mnm (No. 136); the cell edges are 8.426, 8.426 and 7.705 Å and the angles 90.00°, 90.00° and 90.00°. Symmetry generates all atoms from Sm at (0.000, 0.500, 0.250), Sm at (0.149, 0.149, 0.000), Sm at (0.202, 0.202, 0.500) and Al at (0.118, 0.882, 0.310).

***

Least stable: model 2

***

Model 1:
DFT (PBE) results for crystalline SrSmAl2 at its relaxed geometry.

The structure belongs to space group Fm-3m (No. 225); the cell edges are 7.602, 7.602 and 7.602 Å and the angles 90.00°, 90.00° and 90.00°. Symmetry generates all atoms from Sr at (0.000, 0.000, 0.000), Sm at (0.000, 0.000, 0.500) and Al at (0.250, 0.250, 0.250).

***

Model 2:
DFT (PBE) results for crystalline SrSmAl2 at its relaxed geometry.

The structure belongs to space group P4/mmm (No. 123); the cell edges are 3.785, 3.785 and 7.714 Å and the angles 90.00°, 90.00° and 90.00°. Symmetry generates all atoms from Sr at (0.000, 0.000, 0.000), Sm at (0.000, 0.000, 0.500) and Al at (0.500, 0.500, 0.277).

***

Least stable: model 1

***

Model 1:
DFT (PBE) results for crystalline SrSmAl at its relaxed geometry.

The structure belongs to space group P-3m1 (No. 164); the cell edges are 5.2114, 5.2114 and 9.1747 Å and the angles 90.00°, 90.00° and 120.00°. Symmetry generates all atoms from Sr at (0.3333, 0.6667, 0.3400), Sm at (0.3333, 0.6667, 0.9123) and Al at (0.0000, 0.0000, 0.1480).

***

Model 2:
DFT (PBE) results for crystalline SrSmAl at its relaxed geometry.

The structure belongs to space group Amm2 (No. 38); the cell edges are 13.838, 5.361 and 5.356 Å and the angles 90.00°, 90.00° and 90.00°. Symmetry generates all atoms from Sr at (0.151, 0.000, 0.000), Sm at (0.376, 0.000, 0.499), Al at (0.000, 0.000, 0.500) and Al at (0.500, 0.000, 0.999).

***

Least stable: model 2

***

Model 1:
DFT (PBE) results for crystalline TbSm3Al8 at its relaxed geometry.

The structure belongs to space group P3m1 (No. 156); the cell edges are 5.6122, 5.6122 and 9.2407 Å and the angles 90.00°, 90.00° and 120.00°. Symmetry generates all atoms from Tb at (0.0000, 0.0000, 0.0000), Sm at (0.0000, 0.0000, 0.3639), Sm at (0.6667, 0.3333, 0.5005), Sm at (0.6667, 0.3333, 0.8643), Al at (0.1621, 0.3243, 0.6830), Al at (0.3333, 0.6667, 0.4312), Al at (0.3333, 0.6667, 0.9325) and Al at (0.5044, 0.0089, 0.1805).

***

Model 2:
DFT (PBE) results for crystalline TbSm3Al8 at its relaxed geometry.

The structure belongs to space group R3m (No. 160, hexagonal axes); the cell edges are 5.6175, 5.6175 and 27.6269 Å and the angles 90.00°, 90.00° and 120.00°. Symmetry generates all atoms from Tb at (0.0000, 0.0000, 0.0000), Sm at (0.0000, 0.0000, 0.3754), Sm at (0.0000, 0.0000, 0.5003), Sm at (0.0000, 0.0000, 0.8756), Al at (0.0000, 0.0000, 0.1879), Al at (0.0000, 0.0000, 0.6877), Al at (0.9996, 0.4998, 0.4374) and Al at (0.0002, 0.5001, 0.9382).

***

Least stable: model 1

***

Model 1:
DFT (PBE) results for crystalline Tb2SmAl2 at its relaxed geometry.

The structure belongs to space group P2_1/m (No. 11); the cell edges are 3.677, 5.204 and 13.647 Å and the angles 90.00°, 97.76° and 90.00°. Symmetry generates all atoms from Tb at (0.047, 0.250, 0.094), Tb at (0.233, 0.250, 0.466), Sm at (0.143, 0.750, 0.288), Al at (0.360, 0.750, 0.718) and Al at (0.452, 0.250, 0.904).

***

Model 2:
DFT (PBE) results for crystalline Tb2SmAl2 at its relaxed geometry.

The structure belongs to space group Cmcm (No. 63); the cell edges are 6.299, 16.132 and 5.543 Å and the angles 90.00°, 90.00° and 90.00°. Symmetry generates all atoms from Tb at (0.000, 0.086, 0.250), Tb at (0.000, 0.301, 0.750), Sm at (0.000, 0.500, 0.000) and Al at (0.228, 0.135, 0.750).

***

Least stable: model 2

***

Model 1:
DFT (PBE) results for crystalline TbSmAl at its relaxed geometry.

The structure belongs to space group Pmmm (No. 47); the cell edges are 3.488, 5.084 and 5.204 Å and the angles 90.00°, 90.00° and 90.00°. Symmetry generates all atoms from Tb at (0.000, 0.000, 0.000), Sm at (0.000, 0.500, 0.500) and Al at (0.500, 0.500, 0.000).

***

Model 2:
DFT (PBE) results for crystalline TbSmAl at its relaxed geometry.

The structure belongs to space group I4mm (No. 107); the cell edges are 3.476, 3.476 and 13.693 Å and the angles 90.00°, 90.00° and 90.00°. Symmetry generates all atoms from Tb at (0.000, 0.000, 0.000), Sm at (0.000, 0.000, 0.705) and Al at (0.000, 0.000, 0.356).

***

Model 3:
DFT (PBE) results for crystalline TbSmAl at its relaxed geometry.

The structure belongs to space group P2 (No. 3); the cell edges are 3.350, 8.098 and 3.617 Å and the angles 90.00°, 117.40° and 90.00°. Symmetry generates all atoms from Tb at (0.000, 0.000, 0.000), Sm at (0.500, 0.402, 0.000) and Al at (0.500, 0.704, 0.500).

***

Model 4:
DFT (PBE) results for crystalline TbSmAl at its relaxed geometry.

The structure belongs to space group P3m1 (No. 156); the cell edges are 5.1073, 5.1073 and 3.6195 Å and the angles 90.00°, 90.00° and 120.00°. Symmetry generates all atoms from Tb at (0.0000, 0.0000, 0.0000), Sm at (0.3333, 0.6667, 0.4361) and Al at (0.6667, 0.3333, 0.7447).

***

Least stable: model 3

***

Model 1:
DFT (PBE) results for crystalline Tb2Sm3Al3 at its relaxed geometry.

The structure belongs to space group Immm (No. 71); the cell edges are 3.728, 5.247 and 21.904 Å and the angles 90.00°, 90.00° and 90.00°. Symmetry generates all atoms from Tb at (0.000, 0.000, 0.230), Sm at (0.000, 0.000, 0.000), Sm at (0.000, 0.500, 0.120), Al at (0.000, 0.000, 0.500) and Al at (0.000, 0.500, 0.382).

***

Model 2:
DFT (PBE) results for crystalline Tb2Sm3Al3 at its relaxed geometry.

The structure belongs to space group P-62m (No. 189); the cell edges are 8.5487, 8.5487 and 3.3301 Å and the angles 90.00°, 90.00° and 120.00°. Symmetry generates all atoms from Tb at (0.3333, 0.6667, 0.0000), Sm at (0.0000, 0.7563, 0.0000) and Al at (0.0000, 0.3838, 0.5000).

***

Least stable: model 2

***

Model 1:
DFT (PBE) results for crystalline Tb3Sm2Al3 at its relaxed geometry.

The structure belongs to space group Pmmm (No. 47); the cell edges are 4.830, 4.837 and 8.921 Å and the angles 90.00°, 90.00° and 90.00°. Symmetry generates all atoms from Tb at (0.000, 0.000, 0.000), Tb at (0.000, 0.500, 0.276), Sm at (0.500, 0.000, 0.269), Al at (0.000, 0.000, 0.500), Al at (0.500, 0.500, 0.000) and Al at (0.500, 0.500, 0.500).

***

Model 2:
DFT (PBE) results for crystalline Tb3Sm2Al3 at its relaxed geometry.

The structure belongs to space group Immm (No. 71); the cell edges are 3.716, 5.169 and 21.881 Å and the angles 90.00°, 90.00° and 90.00°. Symmetry generates all atoms from Tb at (0.000, 0.000, 0.000), Tb at (0.000, 0.500, 0.118), Sm at (0.000, 0.000, 0.229), Al at (0.000, 0.000, 0.500) and Al at (0.000, 0.500, 0.386).

***

Least stable: model 1

***

Model 1:
DFT (PBE) results for crystalline TbSm6Al at its relaxed geometry.

The structure belongs to space group P4/mmm (No. 123); the cell edges are 4.932, 4.932 and 10.148 Å and the angles 90.00°, 90.00° and 90.00°. Symmetry generates all atoms from Tb at (0.000, 0.000, 0.000), Sm at (0.000, 0.500, 0.262), Sm at (0.500, 0.500, 0.000), Sm at (0.500, 0.500, 0.500) and Al at (0.000, 0.000, 0.500).

***

Model 2:
DFT (PBE) results for crystalline TbSm6Al at its relaxed geometry.

The structure belongs to space group R-3 (No. 148, hexagonal axes); the cell edges are 9.3380, 9.3380 and 10.2008 Å and the angles 90.00°, 90.00° and 120.00°. Symmetry generates all atoms from Tb at (0.0000, 0.0000, 0.0000), Sm at (0.0243, 0.7734, 0.7131) and Al at (0.0000, 0.0000, 0.5000).

***

Least stable: model 2